--- 1 ---
Zn5Cd: optimized geometry, PBE.

Results
Volume = 17.2 A^3/atom
Space group = P6/mmm
M_tot = 0.0 Bohr magnetons per cell
DOS at the Fermi energy = 1.430 states/eV/cell

```
Zn5Cd
1.0
5.198 0.000 0.000
-2.599 4.502 0.000
0.000 0.000 4.408
Cd Zn
1 5
direct
0.000 0.000 0.000 Cd
0.000 0.500 0.500 Zn
0.333 0.667 0.000 Zn
0.500 0.000 0.500 Zn
0.500 0.500 0.500 Zn
0.667 0.333 0.000 Zn
```

--- 2 ---
Zn5Cd: optimized geometry, PBE.

Results
Volume = 16.5 A^3/atom
Space group = Cmmm
M_tot = 0.0 Bohr magnetons per cell
DOS at the Fermi energy = 1.469 states/eV/cell

```
Zn5Cd
1.0
-0.029 -4.012 -0.432
0.429 0.421 -3.942
5.913 -0.325 2.625
Zn Cd
5 1
direct
0.500 0.827 0.654 Zn
0.000 0.672 0.344 Zn
0.500 0.500 0.000 Zn
0.000 0.328 0.656 Zn
0.500 0.173 0.346 Zn
0.000 0.000 0.000 Cd
```

--- 3 ---
Zn5Cd: optimized geometry, PBE.

Results
Volume = 16.4 A^3/atom
Space group = Amm2
M_tot = 0.0 Bohr magnetons per cell
DOS at the Fermi energy = 1.413 states/eV/cell

```
Zn5Cd
1.0
7.426 0.056 0.000
-6.839 2.894 0.000
0.000 0.000 4.505
Cd Zn
1 5
direct
0.998 0.002 0.000 Cd
0.223 0.777 0.500 Zn
0.326 0.674 0.000 Zn
0.568 0.432 0.500 Zn
0.673 0.327 0.000 Zn
0.879 0.121 0.500 Zn
```

In terms of stability, 2 leads; the second structure lies 0.5 kJ/mol of atoms higher.

--- 1 ---
Zn5Cd: optimized geometry, PBE.

Results
Volume = 16.9 A^3/atom
Space group = Cmmm
M_tot = 0.0 Bohr magnetons per cell
DOS at the Fermi energy = 1.546 states/eV/cell

```
Zn5Cd
1.0
4.857 0.000 0.000
0.000 4.656 -2.298
0.000 -0.551 4.750
Zn Cd
5 1
direct
0.500 0.826 0.651 Zn
0.000 0.662 0.324 Zn
0.500 0.500 0.000 Zn
0.000 0.338 0.676 Zn
0.500 0.174 0.349 Zn
0.000 0.000 0.000 Cd
```

--- 2 ---
Zn5Cd: optimized geometry, PBE.

Results
Volume = 17.5 A^3/atom
Space group = Cm
M_tot = 0.0 Bohr magnetons per cell
DOS at the Fermi energy = 0.930 states/eV/cell

```
Zn5Cd
1.0
-2.080 1.421 -0.915
-1.367 -6.193 -2.584
-4.206 -4.034 3.301
Cd Zn
1 5
direct
0.023 0.046 0.058 Cd
0.364 0.728 0.663 Zn
0.689 0.378 0.644 Zn
0.061 0.123 0.486 Zn
0.314 0.627 0.256 Zn
0.716 0.432 0.058 Zn
```

--- 3 ---
Zn5Cd: optimized geometry, PBE.

Results
Volume = 16.6 A^3/atom
Space group = F-43m
M_tot = 0.0 Bohr magnetons per cell
DOS at the Fermi energy = 2.306 states/eV/cell

```
Zn5Cd
1.0
5.205 0.000 0.000
2.603 4.508 0.000
2.603 1.503 4.250
Cd Zn
1 5
direct
0.000 0.000 0.000 Cd
0.126 0.625 0.625 Zn
0.250 0.250 0.250 Zn
0.625 0.126 0.625 Zn
0.625 0.625 0.126 Zn
0.625 0.625 0.625 Zn
```

In terms of stability, 2 leads; the second structure lies 1.6 kJ/mol of atoms higher.

--- 1 ---
Zn6Cd: optimized geometry, PBE.

Results
Volume = 16.9 A^3/atom
Space group = Pnma
M_tot = 0.0 Bohr magnetons per cell
DOS at the Fermi energy = 5.178 states/eV/cell

```
Zn6Cd
1.0
-2.228 -5.049 -0.059
1.631 -0.808 7.578
-9.772 4.283 2.560
Zn Cd
24 4
direct
0.750 0.607 0.019 Zn
0.250 0.393 0.981 Zn
0.750 0.107 0.481 Zn
0.250 0.893 0.519 Zn
0.018 0.448 0.189 Zn
0.518 0.552 0.811 Zn
0.482 0.948 0.311 Zn
0.982 0.052 0.689 Zn
0.982 0.552 0.811 Zn
0.482 0.448 0.189 Zn
0.518 0.052 0.689 Zn
0.018 0.948 0.311 Zn
0.250 0.137 0.143 Zn
0.750 0.863 0.857 Zn
0.250 0.637 0.357 Zn
0.750 0.363 0.643 Zn
0.250 0.809 0.765 Zn
0.750 0.191 0.235 Zn
0.250 0.309 0.735 Zn
0.750 0.691 0.265 Zn
0.250 0.570 0.591 Zn
0.750 0.430 0.409 Zn
0.250 0.070 0.909 Zn
0.750 0.930 0.091 Zn
0.750 0.234 0.945 Cd
0.250 0.766 0.055 Cd
0.750 0.734 0.555 Cd
0.250 0.266 0.445 Cd
```

--- 2 ---
Zn6Cd: optimized geometry, PBE.

Results
Volume = 25.0 A^3/atom
Space group = Im-3m
M_tot = 0.0 Bohr magnetons per cell
DOS at the Fermi energy = 5.437 states/eV/cell

```
Zn6Cd
1.0
-5.452 -2.113 -1.742
4.228 -1.689 -4.061
1.412 -2.288 5.476
Zn Cd
6 1
direct
0.250 0.750 0.500 Zn
0.500 0.750 0.250 Zn
0.250 0.500 0.750 Zn
0.750 0.250 0.500 Zn
0.500 0.250 0.750 Zn
0.750 0.500 0.250 Zn
0.000 0.000 0.000 Cd
```

In terms of stability, 1 leads; the second structure lies 39.0 kJ/mol of atoms higher.

--- 1 ---
Zn3Cd2: optimized geometry, PBE.

Results
Volume = 18.7 A^3/atom
Space group = R-3m
M_tot = 0.0 Bohr magnetons per cell
DOS at the Fermi energy = 1.443 states/eV/cell

```
Zn3Cd2
1.0
3.127 0.000 0.000
1.563 2.708 0.000
-1.563 -0.903 11.017
Cd Zn
2 3
direct
0.402 0.402 0.206 Cd
0.598 0.598 0.794 Cd
0.000 0.000 0.000 Zn
0.196 0.196 0.587 Zn
0.804 0.804 0.413 Zn
```

--- 2 ---
Zn3Cd2: optimized geometry, PBE.

Results
Volume = 20.6 A^3/atom
Space group = R-3c
M_tot = 0.0 Bohr magnetons per cell
DOS at the Fermi energy = 2.296 states/eV/cell

```
Zn3Cd2
1.0
-1.986 3.639 6.481
1.905 -2.989 6.829
3.445 2.252 4.358
Zn Cd
6 4
direct
0.055 0.750 0.750 Zn
0.750 0.445 0.750 Zn
0.445 0.055 0.750 Zn
0.250 0.555 0.250 Zn
0.555 0.945 0.250 Zn
0.945 0.250 0.250 Zn
0.879 0.879 0.362 Cd
0.379 0.379 0.862 Cd
0.121 0.121 0.638 Cd
0.621 0.621 0.138 Cd
```

In terms of stability, 1 leads; the second structure lies 10.9 kJ/mol of atoms higher.

--- 1 ---
ZrZn3Cd: optimized geometry, PBE.

Results
Volume = 29.7 A^3/atom
Space group = Pm-3m
M_tot = 1.6 Bohr magnetons per cell
DOS at the Fermi energy = 6.299 states/eV/cell

```
ZrZn3Cd
1.0
5.295 0.000 0.000
0.000 5.295 0.000
0.000 0.000 5.295
Zn Zr Cd
3 1 1
direct
0.000 0.500 0.000 Zn
0.000 0.000 0.500 Zn
0.500 0.000 0.000 Zn
0.000 0.000 0.000 Zr
0.500 0.500 0.500 Cd
```

--- 2 ---
ZrZn3Cd: optimized geometry, PBE.

Results
Volume = 21.7 A^3/atom
Space group = Pm-3m
M_tot = 0.0 Bohr magnetons per cell
DOS at the Fermi energy = 3.185 states/eV/cell

```
ZrZn3Cd
1.0
-0.377 -0.783 4.691
2.831 -3.818 -0.409
3.822 2.751 0.766
Zn Zr Cd
3 1 1
direct
0.000 0.500 0.000 Zn
0.000 0.000 0.500 Zn
0.500 0.000 0.000 Zn
0.500 0.500 0.500 Zr
0.000 0.000 0.000 Cd
```

In terms of stability, 2 leads; the second structure lies 21.5 kJ/mol of atoms higher.

--- 1 ---
Zr5Cd4: optimized geometry, PBE.

Results
Volume = 22.1 A^3/atom
Space group = I4/mmm
M_tot = 1.0 Bohr magnetons per cell
DOS at the Fermi energy = 10.977 states/eV/cell

```
Zr5Cd4
1.0
9.492 0.000 0.000
0.000 9.492 0.000
4.746 4.746 2.206
Cd Zr
4 5
direct
0.000 0.337 0.000 Cd
0.000 0.663 0.000 Cd
0.337 0.000 0.000 Cd
0.663 0.000 0.000 Cd
0.000 0.000 0.000 Zr
0.335 0.335 0.000 Zr
0.335 0.665 0.000 Zr
0.665 0.335 0.000 Zr
0.665 0.665 0.000 Zr
```

--- 2 ---
Zr5Cd4: optimized geometry, PBE.

Results
Volume = 22.2 A^3/atom
Space group = P6_3/mcm
M_tot = 2.3 Bohr magnetons per cell
DOS at the Fermi energy = 23.597 states/eV/cell

```
Zr5Cd4
1.0
-2.801 -7.683 3.080
3.774 -3.518 7.052
-3.956 2.863 3.545
Cd Zr
8 10
direct
0.000 0.000 0.000 Cd
0.000 0.000 0.500 Cd
0.658 0.342 0.250 Cd
0.000 0.658 0.250 Cd
0.342 0.000 0.250 Cd
0.342 0.658 0.750 Cd
0.000 0.342 0.750 Cd
0.658 0.000 0.750 Cd
0.327 0.673 0.250 Zr
0.000 0.327 0.250 Zr
0.673 0.000 0.250 Zr
0.673 0.327 0.750 Zr
0.000 0.673 0.750 Zr
0.327 0.000 0.750 Zr
0.333 0.333 0.000 Zr
0.667 0.667 0.500 Zr
0.667 0.667 0.000 Zr
0.333 0.333 0.500 Zr
```

In terms of stability, 1 leads; the second structure lies 1.2 kJ/mol of atoms higher.

--- 1 ---
Zr4Cd: optimized geometry, PBE.

Results
Volume = 22.7 A^3/atom
Space group = I4/m
M_tot = 0.0 Bohr magnetons per cell
DOS at the Fermi energy = 6.493 states/eV/cell

```
Zr4Cd
1.0
7.220 0.000 0.000
0.000 7.220 0.000
3.610 3.610 2.175
Cd Zr
1 4
direct
0.000 0.000 0.000 Cd
0.809 0.612 0.000 Zr
0.191 0.388 0.000 Zr
0.612 0.191 0.000 Zr
0.388 0.809 0.000 Zr
```

--- 2 ---
Zr4Cd: optimized geometry, PBE.

Results
Volume = 22.7 A^3/atom
Space group = I4/mmm
M_tot = 0.0 Bohr magnetons per cell
DOS at the Fermi energy = 4.378 states/eV/cell

```
Zr4Cd
1.0
-0.465 2.856 -1.300
-3.136 -0.367 0.316
2.279 3.494 10.732
Zr Cd
4 1
direct
0.600 0.600 0.200 Zr
0.200 0.200 0.400 Zr
0.800 0.800 0.600 Zr
0.400 0.400 0.800 Zr
0.000 0.000 0.000 Cd
```

--- 3 ---
Zr4Cd: optimized geometry, PBE.

Results
Volume = 24.6 A^3/atom
Space group = I4/mmm
M_tot = 0.0 Bohr magnetons per cell
DOS at the Fermi energy = 4.900 states/eV/cell

```
Zr4Cd
1.0
-2.064 2.064 7.205
2.064 -2.064 7.205
2.064 2.064 -7.205
Zr Cd
4 1
direct
0.750 0.250 0.500 Zr
0.409 0.409 0.000 Zr
0.591 0.591 0.000 Zr
0.250 0.750 0.500 Zr
0.000 0.000 0.000 Cd
```

In terms of stability, 2 leads; the second structure lies 2.1 kJ/mol of atoms higher.

--- 1 ---
Zr3Cd5: optimized geometry, PBE.

Results
Volume = 23.2 A^3/atom
Space group = P6_3/mcm
M_tot = 0.0 Bohr magnetons per cell
DOS at the Fermi energy = 16.263 states/eV/cell

```
Zr3Cd5
1.0
8.696 0.000 0.000
4.348 7.530 0.000
0.000 0.000 5.664
Zr Cd
6 10
direct
0.000 0.419 0.750 Zr
0.000 0.581 0.250 Zr
0.419 0.581 0.750 Zr
0.419 0.000 0.250 Zr
0.581 0.419 0.250 Zr
0.581 0.000 0.750 Zr
0.000 0.220 0.250 Cd
0.000 0.780 0.750 Cd
0.220 0.780 0.250 Cd
0.220 0.000 0.750 Cd
0.333 0.333 0.000 Cd
0.333 0.333 0.500 Cd
0.667 0.667 0.000 Cd
0.667 0.667 0.500 Cd
0.780 0.220 0.750 Cd
0.780 0.000 0.250 Cd
```

--- 2 ---
Zr3Cd5: optimized geometry, PBE.

Results
Volume = 21.8 A^3/atom
Space group = Cmmm
M_tot = 0.0 Bohr magnetons per cell
DOS at the Fermi energy = 7.567 states/eV/cell

```
Zr3Cd5
1.0
6.305 -0.029 0.000
-0.010 6.305 0.000
0.000 0.000 4.380
Cd Zr
5 3
direct
0.000 0.000 0.000 Cd
0.000 0.500 0.000 Cd
0.500 0.000 0.000 Cd
0.750 0.250 0.500 Cd
0.250 0.750 0.500 Cd
0.500 0.500 0.000 Zr
0.255 0.255 0.500 Zr
0.745 0.745 0.500 Zr
```

In terms of stability, 2 leads; the second structure lies 21.2 kJ/mol of atoms higher.